The following is a DFT calculation (GGA+U) of YWO3 after structural relaxation.

Cell and atoms, written as CIF:
```
data_YWO3
_chemical_formula_sum 'Y1 W1 O3'
_space_group_name_H-M_alt 'P m -3 m'
_space_group_IT_number 221
_space_group_name_Hall '-P 4 2 3'
_cell_length_a 4.069
_cell_length_b 4.069
_cell_length_c 4.069
_cell_angle_alpha 90.00
_cell_angle_beta 90.00
_cell_angle_gamma 90.00
loop_
_atom_site_label
_atom_site_type_symbol
_atom_site_fract_x
_atom_site_fract_y
_atom_site_fract_z
_atom_site_occupancy
Y1 Y 0.000 0.000 0.000 1
W1 W 0.500 0.500 0.500 1
O1 O 0.000 0.500 0.500 1
```

Values from the calculation:
DFT total energy = -0.28313 Ha/atom